No. 1
# SnPt

A relaxed structure of SnPt (PBE, Alexandria).

## Properties
Fermi-level density of states: 1.32 states/eV/f.u.
Energy relative to the elements: -0.58 eV/atom
Crystal system: hexagonal
Total energy: -5.61 eV per atom

Cell lengths 4.1704, 4.1704, 5.5195 Å; angles 90.00, 90.00, 120.00 degrees
Last column: nearest neighbours and their distance in Å.
Fractional coordinates of all 4 atoms:
Sn 0.3333 0.6667 0.2500  6 Pt 2.78
Sn 0.6667 0.3333 0.7500  6 Pt 2.78
Pt 0.0000 0.0000 0.0000  2 Pt 2.76, 6 Sn 2.78
Pt 0.0000 0.0000 0.5000  2 Pt 2.76, 6 Sn 2.78


No. 2
# Sn3Pt2

A relaxed structure of Sn3Pt2 (PBE, Alexandria).

## Properties
Fermi-level density of states: 1.87 states/eV/f.u.
Energy relative to the elements: -0.45 eV/atom
Crystal system: monoclinic
Total energy: -5.27 eV per atom

Cell lengths 3.8909, 6.7173, 8.9347 Å; angles 94.46, 90.00, 90.00 degrees
Last column: nearest neighbours and their distance in Å.
Fractional coordinates of all 10 atoms:
Sn 0.2500 0.1958 0.4685  3 Pt 2.68-2.76, 1 Sn 2.93
Sn 0.7500 0.8042 0.5315  3 Pt 2.68-2.76, 1 Sn 2.93
Sn 0.2500 0.0579 0.8581  5 Pt 2.71-2.81
Sn 0.7500 0.9421 0.1419  5 Pt 2.71-2.81
Sn 0.7500 0.5676 0.7933  4 Pt 2.71-2.79, 1 Sn 2.93
Sn 0.2500 0.4324 0.2067  4 Pt 2.71-2.79, 1 Sn 2.93
Pt 0.2500 0.8160 0.3257  6 Sn 2.68-2.76
Pt 0.7500 0.1840 0.6743  6 Sn 2.68-2.76
Pt 0.2500 0.7057 0.9869  6 Sn 2.71-2.81
Pt 0.7500 0.2943 0.0131  6 Sn 2.71-2.81


No. 3
# SnPt

A relaxed structure of SnPt (PBE, Alexandria).

## Properties
Fermi-level density of states: 1.03 states/eV/f.u.
Energy relative to the elements: -0.05 eV/atom
Crystal system: cubic
Total energy: -5.08 eV per atom

Cell lengths 7.4152, 7.4152, 7.4152 Å; angles 90.00, 90.00, 90.00 degrees
Last column: nearest neighbours and their distance in Å.
Fractional coordinates of all 12 atoms:
Sn 0.2500 0.0000 0.5000  4 Pt 2.62
Sn 0.7500 0.0000 0.5000  4 Pt 2.62
Sn 0.0000 0.5000 0.2500  4 Pt 2.62
Sn 0.0000 0.5000 0.7500  4 Pt 2.62
Sn 0.5000 0.2500 0.0000  4 Pt 2.62
Sn 0.5000 0.7500 0.0000  4 Pt 2.62
Pt 0.2500 0.5000 0.0000  4 Sn 2.62
Pt 0.7500 0.5000 0.0000  4 Sn 2.62
Pt 0.5000 0.0000 0.2500  4 Sn 2.62
Pt 0.5000 0.0000 0.7500  4 Sn 2.62
Pt 0.0000 0.2500 0.5000  4 Sn 2.62
Pt 0.0000 0.7500 0.5000  4 Sn 2.62


Q: Look up the Fermi-level density of states of the second one.
A: 1.87 states/eV/f.u.


Q: What is the energy relative to the elements in the second record?
A: -0.45 eV/atom


Q: energy relative to the elements of number 2 (Sn3Pt2)?
A: -0.45 eV/atom